[1]
DFT (PBE-GGA) results for a relaxed Tb3SiNi2 crystal.

Unit cell a=3.9505 b=11.4426 c=11.4570 alpha=90.00 beta=90.00 gamma=90.00
With the nearest neighbours (Å) after each atom.
Sites, in units of the cell vectors:
1 Ni 0.2500 0.4850 0.8068  1 Si 2.45
2 Ni 0.2500 0.6886 0.4644  2 Si 2.33
3 Tb 0.7500 0.6200 0.9354  5 Ni 2.91-3.19, 1 Si 2.93
4 Ni 0.7500 0.9850 0.6932  1 Si 2.45
5 Si 0.7500 0.6316 0.3730  3 Ni 2.33-2.45
6 Ni 0.7500 0.5150 0.1932  1 Si 2.45
7 Si 0.2500 0.1316 0.1270  3 Ni 2.33-2.45
8 Tb 0.7500 0.5619 0.6174  3 Si 2.91-2.97, 5 Ni 3.01-3.06
9 Tb 0.7500 0.8800 0.4354  5 Ni 2.91-3.19, 1 Si 2.93
10 Tb 0.7500 0.3137 0.8094  3 Ni 2.78-2.96, 2 Si 2.94
11 Tb 0.2500 0.3800 0.0646  5 Ni 2.91-3.19, 1 Si 2.93
12 Tb 0.2500 0.0619 0.8826  3 Si 2.91-2.97, 5 Ni 3.01-3.06
13 Ni 0.7500 0.3114 0.5356  2 Si 2.33
14 Tb 0.7500 0.1863 0.3094  3 Ni 2.78-2.96, 2 Si 2.94
15 Ni 0.7500 0.1886 0.0356  2 Si 2.33
16 Tb 0.2500 0.6863 0.1906  3 Ni 2.78-2.96, 2 Si 2.94
17 Tb 0.2500 0.8137 0.6906  3 Ni 2.78-2.96, 2 Si 2.94
18 Tb 0.2500 0.4381 0.3826  3 Si 2.91-2.97, 5 Ni 3.01-3.06
19 Si 0.2500 0.3684 0.6270  3 Ni 2.33-2.45
20 Si 0.7500 0.8684 0.8730  3 Ni 2.33-2.45
21 Tb 0.7500 0.9381 0.1174  3 Si 2.91-2.97, 5 Ni 3.01-3.06
22 Tb 0.2500 0.1200 0.5646  5 Ni 2.91-3.19, 1 Si 2.93
23 Ni 0.2500 0.8114 0.9644  2 Si 2.33
24 Ni 0.2500 0.0150 0.3068  1 Si 2.45

Calculated values
- energy relative to the elements, uncorrected (eV/atom) = -0.489
- raw total energy (eV/atom) = -5.64
- magnetic moment (μB per formula unit) = 0.0
- density of states at the Fermi level (states/eV/f.u.) = 5.6



[2]
DFT (PBE-GGA) results for a relaxed TbSi2Ni2 crystal.

Unit cell a=3.9222 b=3.9222 c=4.9325 alpha=90.00 beta=90.00 gamma=90.00
With the nearest neighbours (Å) after each atom.
Sites, in units of the cell vectors:
1 Tb 0.0000 0.0000 0.0000  8 Si 3.02, 8 Ni 3.15
2 Si 0.5000 0.5000 0.2413  4 Ni 2.34, 2 Si 2.38-2.55
3 Si 0.5000 0.5000 0.7587  4 Ni 2.34, 2 Si 2.38-2.55
4 Ni 0.5000 0.0000 0.5000  4 Si 2.34
5 Ni 0.0000 0.5000 0.5000  4 Si 2.34

Calculated values
- energy relative to the elements, uncorrected (eV/atom) = -0.786
- raw total energy (eV/atom) = -6.19
- magnetic moment (μB per formula unit) = 0.0
- polymorph energy (0 for the lowest one) (meV per atom) = 71
- density of states at the Fermi level (states/eV/f.u.) = 4.0



[3]
DFT (PBE-GGA) results for a relaxed Tb3SiNi3 crystal.

Unit cell a=3.9278 b=5.4871 c=13.5952 alpha=84.56 beta=81.69 gamma=69.03
With the nearest neighbours (Å) after each atom.
Sites, in units of the cell vectors:
1 Ni 0.1040 0.8679 0.9242  2 Ni 2.50-2.52
2 Si 0.7617 0.0888 0.3878  4 Ni 2.30-2.44
3 Si 0.2383 0.9112 0.6122  4 Ni 2.30-2.44
4 Tb 0.5220 0.3412 0.6149  3 Si 2.92-2.95, 7 Ni 2.93-3.26
5 Tb 0.7430 0.7421 0.7720  5 Ni 2.86-3.05, 2 Si 3.01
6 Ni 0.0432 0.1484 0.7652  1 Si 2.44, 1 Ni 2.52
7 Ni 0.8960 0.1321 0.0758  2 Ni 2.50-2.52
8 Ni 0.1730 0.1875 0.4665  3 Si 2.30-2.36
9 Ni 0.8270 0.8125 0.5335  3 Si 2.30-2.36
10 Tb 0.6048 0.7137 0.0766  7 Ni 2.91-3.00
11 Tb 0.2570 0.2579 0.2280  5 Ni 2.86-3.05, 2 Si 3.01
12 Ni 0.9568 0.8516 0.2348  1 Si 2.44, 1 Ni 2.52
13 Tb 0.4780 0.6588 0.3851  3 Si 2.92-2.95, 7 Ni 2.93-3.26
14 Tb 0.3952 0.2863 0.9234  7 Ni 2.91-3.00

Calculated values
- energy relative to the elements, uncorrected (eV/atom) = -0.565
- raw total energy (eV/atom) = -5.80
- magnetic moment (μB per formula unit) = 0.0
- density of states at the Fermi level (states/eV/f.u.) = 5.5



What is the density of states at the Fermi level in the third record?
5.5 states/eV/f.u.



Look up the energy relative to the elements, uncorrected of the first one.
-0.489 eV/atom



The lowest density of states at the Fermi level belongs to which entry?
TbSi2Ni2



magnetic moment of number 3 (Tb3SiNi3)?
0.0 μB per formula unit